A relaxed CuTcTeN2 crystal, computed with PBE.

Values from the calculation:
- Relative energy among the computed polymorphs: 0.000 kcal/mol of atoms
- Calculated total energy: -31.31 eV for the cell shown
- D(E_F): 2.71 states/eV per cell
- Uncorrected formation energy: 0.5894 eV per atom

Cell: 3.8098 3.8098 5.7778 Å, 90.00 90.00 90.00°
With the nearest neighbours (Å) after each atom.
Space group P4/mmm (No. 123)
Symmetry-distinct sites (fractional):
Cu  0.0000  0.0000  0.0000  4 Te 2.69
Tc  0.5000  0.5000  0.5000  4 N 1.90
Te  0.5000  0.5000  0.0000  4 Cu 2.69, 2 Tc 2.89
N  0.0000  0.5000  0.5000  2 Tc 1.90